Entry 1:
# TlZnP2O

A geometry-optimized TlZnP2O structure (GGA-PBEsol, Alexandria via LeMat-Bulk).

CIF file:
```
data_TlZnP2O
_chemical_formula_sum 'Tl1 Zn1 P2 O1'
_cell_length_a 5.144
_cell_length_b 5.144
_cell_length_c 4.020
_cell_angle_alpha 90.00
_cell_angle_beta 90.00
_cell_angle_gamma 90.00
_symmetry_space_group_name_H-M 'P 4/m m m'
_symmetry_Int_Tables_number 123
_symmetry_space_group_name_Hall '-P 4 2'
loop_
_atom_site_label
_atom_site_fract_x
_atom_site_fract_y
_atom_site_fract_z
Tl1 0.000 0.000 0.000
Zn1 0.500 0.500 0.500
P1 0.000 0.500 0.000
O1 0.000 0.000 0.500
```

Properties
Energy relative to the elements, uncorrected: 5.441 eV/f.u.
E: -15.603 eV/cell



Entry 2:
# BaSr2In

A geometry-optimized BaSr2In structure (GGA-PBEsol, Alexandria via LeMat-Bulk).

CIF file:
```
data_BaSr2In
_chemical_formula_sum 'Ba1 Sr2 In1'
_cell_length_a 4.038
_cell_length_b 4.038
_cell_length_c 10.644
_cell_angle_alpha 90.00
_cell_angle_beta 90.00
_cell_angle_gamma 90.00
_symmetry_space_group_name_H-M 'P 4/m m m'
_symmetry_Int_Tables_number 123
_symmetry_space_group_name_Hall '-P 4 2'
loop_
_atom_site_label
_atom_site_fract_x
_atom_site_fract_y
_atom_site_fract_z
Ba1 0.000 0.000 0.000
Sr1 0.500 0.500 0.316
In1 0.000 0.000 0.500
```

Properties
ΔE_f: -0.86 eV per formula unit
E: -9.672 eV/cell



Entry 3:
# CsRe2Ag2

A geometry-optimized CsRe2Ag2 structure (GGA-PBEsol, Alexandria via LeMat-Bulk).

CIF file:
```
data_CsRe2Ag2
_chemical_formula_sum 'Cs2 Re4 Ag4'
_cell_length_a 3.551
_cell_length_b 3.551
_cell_length_c 18.709
_cell_angle_alpha 90.00
_cell_angle_beta 90.00
_cell_angle_gamma 90.00
_symmetry_space_group_name_H-M 'I 4/m m m'
_symmetry_Int_Tables_number 139
_symmetry_space_group_name_Hall '-I 4 2'
loop_
_atom_site_label
_atom_site_fract_x
_atom_site_fract_y
_atom_site_fract_z
Cs1 0.000 0.000 0.000
Re1 0.000 0.500 0.250
Ag1 0.000 0.000 0.366
```

Properties
ΔE_f: 5.08 eV per formula unit
E: -58.298 eV/cell